1.
The following is a DFT calculation (PBE) of an optimized crystal structure of MnAl3.

Output
- Space-group type: No. 166

Cell lengths 8.7908, 8.7908, 8.7908 Å; angles 18.58, 18.58, 18.58 degrees
Last column: nearest neighbours and their distance in Å.
Fractional positions:
Al  0.5000  0.5000  0.5000  12 Al 2.83-2.84
Al  0.2557  0.2557  0.2557  3 Mn 2.59, 9 Al 2.83-2.84
Al  0.7443  0.7443  0.7443  3 Mn 2.59, 9 Al 2.83-2.84
Mn  0.0000  0.0000  0.0000  6 Al 2.59, 6 Mn 2.84

2.
The following is a DFT calculation (PBE) of an optimized crystal structure of Al2CrPb.

Output
- Space-group type: No. 8

Cell lengths 4.7845, 4.7845, 5.6028 Å; angles 78.97, 78.97, 39.59 degrees
Last column: nearest neighbours and their distance in Å.
Fractional positions:
Al  0.9903  0.9903  0.0586  2 Cr 2.71, 3 Al 2.76-2.77, 1 Pb 3.03
Al  0.2465  0.2465  0.2589  3 Cr 2.70-2.76, 3 Al 2.76-2.77
Pb  0.7535  0.7535  0.7436  7 Al 3.03-3.30, 3 Cr 3.04, 2 Pb 3.24
Cr  0.5097  0.5097  0.4389  5 Al 2.70-2.76

| no. | E_form (kJ per mole of atoms) | spin magnetization (μB per formula unit) | calculated volume (Å³ per cell) |
| --- | --- | --- | --- |
| 1 | -8 | 2.494 | 60.2 |
| 2 | 33 | 3.477 | 80.0 |